Entry from Alexandria: a relaxed Cd5Bi2Sb2 crystal (PBE).

POSCAR file:
```
Cd5Bi2Sb2
1.0
-10.7679 3.8637 3.3407
10.7679 -3.8637 3.3407
10.7679 3.8637 -3.3407
Cd Bi Sb
10 4 4
Direct
0.1074 0.3571 0.0167
0.1074 0.5908 0.2503
0.1625 0.0538 0.2163
0.1625 0.4462 0.6087
0.3405 0.0908 0.9833
0.3405 0.8571 0.7497
0.4710 0.4316 0.5394
0.8375 0.5538 0.3913
0.8375 0.9462 0.7837
0.8922 0.9316 0.4606
0.6681 0.2990 0.6258
0.6681 0.5424 0.8692
0.6732 0.0424 0.3742
0.6732 0.7990 0.1308
0.0530 0.7599 0.7931
0.3723 0.3723 0.0000
0.3723 0.8723 0.5000
0.9668 0.2599 0.2069
```

Calculated values
Energy relative to the elements, uncorrected: 0.08 eV per atom
ρ: 7.31 g cm⁻³
Space-group type: Ima2
Raw total energy: -2.20 eV/atom
Total magnetic moment: 0.00 μB per cell

---

Entry from Alexandria: a relaxed YMnRe2 crystal (PBE).

POSCAR file:
```
YMnRe2
1.0
3.8404 0.0000 0.0000
0.0000 3.8404 0.0000
0.0000 0.0000 4.6811
Y Mn Re
1 1 2
Direct
0.0000 0.0000 0.0000
0.5000 0.5000 0.0000
0.0000 0.5000 0.5000
0.5000 0.0000 0.5000
```

Calculated values
ρ: 12.42 g cm⁻³
Space-group type: P4/mmm
Raw total energy: -9.61 eV/atom
Total magnetic moment: 3.12 μB per cell
Offset from the most stable computed form: 330 meV/atom

---

Entry from Alexandria: a relaxed NaMgAlO3 crystal (PBE).

POSCAR file:
```
NaMgAlO3
1.0
5.4465 0.0000 0.0000
0.0000 3.1309 0.0000
-1.5455 0.0000 7.4998
Na Mg Al O
2 2 2 6
Direct
0.1350 0.2500 0.1879
0.8650 0.7500 0.8121
0.2515 0.7500 0.5276
0.7485 0.2500 0.4724
0.3722 0.2500 0.8418
0.6278 0.7500 0.1582
0.0860 0.2500 0.6608
0.3119 0.7500 0.9558
0.4506 0.7500 0.3312
0.5494 0.2500 0.6688
0.6881 0.2500 0.0442
0.9140 0.7500 0.3392
```

Calculated values
Energy relative to the elements, uncorrected: -2.45 eV per atom
ρ: 3.18 g cm⁻³
Space-group type: P2_1/m
Raw total energy: -6.04 eV/atom
Total magnetic moment: 0.00 μB per cell